80
Lattice="13.090 0.000 0.000 -4.363 12.341 0.000 -4.363 -6.171 10.688" Properties=species:S:1:pos:R:3 comment="GGA-PBE Ho12Pt3O5, relaxed" space_group="No. 230" magmom_total_mub_per_cell=11.98 e_form_raw_ev_per_atom=-1.80 pbc="T T T"
Pt 7.636 3.857 1.336
Pt 7.636 8.484 1.336
Pt -1.091 5.399 6.680
Pt 1.091 -0.771 4.008
Pt 9.817 0.000 2.672
Pt 1.091 6.171 2.672
Pt 3.272 0.000 8.016
Pt -5.454 6.171 8.016
Pt 3.272 6.942 6.680
Pt 5.454 0.771 4.008
Pt -3.272 -2.314 9.352
Pt -3.272 2.314 9.352
O -1.091 3.085 2.672
O -2.182 6.171 0.000
O 0.000 0.000 0.000
O 3.272 2.314 1.336
O 4.363 -3.085 5.344
O 4.363 6.171 0.000
O -3.272 6.942 4.008
O 5.454 -3.857 9.352
O 5.454 5.399 4.008
O 1.091 -3.085 8.016
O 3.272 9.256 2.672
O 2.182 3.085 5.344
O 6.545 0.000 0.000
O -2.182 -3.085 5.344
O -1.091 0.771 6.680
O -1.091 10.027 1.336
O -4.363 3.085 5.344
O 7.636 -0.771 6.680
O 1.091 3.857 9.352
O 5.454 3.085 8.016
Ho 8.647 1.312 0.224
Ho 0.079 3.935 4.320
Ho 9.863 2.918 3.136
Ho 5.408 1.828 1.248
Ho 1.645 4.489 7.327
Ho 9.406 6.208 1.983
Ho -1.136 7.261 4.385
Ho -3.227 10.513 1.248
Ho 0.536 7.852 7.327
Ho 5.866 6.133 1.983
Ho 6.624 3.547 4.096
Ho 6.624 11.029 0.224
Ho -3.827 5.505 5.568
Ho 2.861 4.434 0.959
Ho -4.442 8.794 4.096
Ho 2.261 -2.235 6.368
Ho -0.536 1.016 2.208
Ho 2.861 7.869 1.024
Ho 5.408 9.423 3.136
Ho -0.679 4.472 1.024
Ho -2.718 7.186 8.480
Ho 3.318 5.080 4.385
Ho 6.009 6.836 5.568
Ho 5.043 -1.737 9.729
Ho 1.045 1.090 6.303
Ho -1.645 -0.666 5.120
Ho -0.679 7.907 0.959
Ho -1.045 -3.252 7.551
Ho 7.081 -1.016 2.208
Ho 5.043 1.699 9.663
Ho 1.502 -1.699 9.663
Ho 2.103 8.406 4.320
Ho 4.899 5.155 8.480
Ho 8.806 -2.623 6.592
Ho 8.190 0.666 5.120
Ho -2.261 -4.858 10.464
Ho 1.502 1.737 9.729
Ho 3.827 -1.681 3.360
Ho -1.502 0.038 8.704
Ho -2.261 2.623 6.592
Ho 7.590 -4.342 9.439
Ho 5.500 -1.090 6.303
Ho -1.045 4.342 9.439
Ho -5.043 -0.038 8.704
Ho 2.718 1.681 3.360
Ho -5.500 3.252 7.551
Ho 4.284 2.235 6.368
Ho -4.284 4.858 10.464